Cr2CdFe: optimized geometry, GGA-PBE.

## Properties
calculated volume: 54.43 Å³ per cell
total moment: 2.24 μB/f.u.
symmetry: Cmmm
ΔH_f (0 K): 0.619 eV/atom

a b c (Å): 4.896 4.896 2.532
angles (deg): 90.00 90.00 116.26
Each line ends with the local moment (μB).
Fractional positions:
Cd 0.000 0.500 0.500  -0.01
Cr 0.000 0.000 0.000  0.04
Cr 0.500 0.500 0.000  0.04
Fe 0.500 0.000 0.500  2.19


CrCd2Fe: optimized geometry, GGA-PBE.

## Properties
energy above the lowest structure with this stoichiometry: 0.94 eV/f.u.
calculated volume: 67.95 Å³ per cell
total moment: 5.59 μB/f.u.
symmetry: Imm2
ΔH_f (0 K): 0.492 eV/atom

a b c (Å): 5.554 5.554 5.554
angles (deg): 149.08 128.88 60.96
Each line ends with the local moment (μB).
Fractional positions:
Cd 0.013 0.013 0.000  -0.02
Cd 0.745 0.245 0.500  -0.06
Cr 0.482 0.482 0.000  2.93
Fe 0.261 0.761 0.500  2.58


CrCd2Fe: optimized geometry, GGA-PBE.

## Properties
energy above the lowest structure with this stoichiometry: 0.83 eV/f.u.
calculated volume: 69.03 Å³ per cell
total moment: 6.37 μB/f.u.
symmetry: Pmm2
ΔH_f (0 K): 0.463 eV/atom

a b c (Å): 4.710 2.981 4.916
angles (deg): 90.00 90.00 90.00
Each line ends with the local moment (μB).
Fractional positions:
Cd 0.000 0.125 0.934  -0.04
Cd 0.500 0.125 0.314  -0.04
Cr 0.000 0.625 0.449  3.47
Fe 0.500 0.625 0.804  2.72


Cr2CdFe: optimized geometry, GGA-PBE.

## Properties
calculated volume: 56.45 Å³ per cell
total moment: 2.30 μB/f.u.
symmetry: Imm2
ΔH_f (0 K): 0.487 eV/atom

a b c (Å): 4.942 4.942 4.942
angles (deg): 143.80 126.58 66.23
Each line ends with the local moment (μB).
Fractional positions:
Cd 0.254 0.754 0.500  -0.01
Cr 0.975 0.975 0.000  1.96
Cr 0.749 0.249 0.500  -1.77
Fe 0.523 0.523 0.000  2.12


Cr2CdFe: optimized geometry, GGA-PBE.

## Properties
calculated volume: 59.23 Å³ per cell
total moment: 2.57 μB/f.u.
symmetry: P2/m
ΔH_f (0 K): 0.497 eV/atom

a b c (Å): 2.963 4.423 5.794
angles (deg): 51.27 90.00 90.00
Each line ends with the local moment (μB).
Fractional positions:
Cd 0.000 0.000 0.500  -0.01
Cr 0.000 0.000 0.000  -2.68
Cr 0.500 0.500 0.000  2.88
Fe 0.500 0.500 0.500  2.39


Cr2CdFe2: optimized geometry, GGA-PBE.

## Properties
energy above the lowest structure with this stoichiometry: 0.00 eV/f.u.
calculated volume: 127.48 Å³ per cell
total moment: 0.00 μB/f.u.
symmetry: P4/mbm
ΔH_f (0 K): 0.315 eV/atom

a b c (Å): 6.977 6.977 2.618
angles (deg): 90.00 90.00 90.00
Fractional positions:
Cr 0.159 0.659 0.500
Cr 0.659 0.841 0.500
Cr 0.841 0.341 0.500
Cr 0.341 0.159 0.500
Fe 0.372 0.872 0.000
Fe 0.872 0.628 0.000
Fe 0.628 0.128 0.000
Fe 0.128 0.372 0.000
Cd 0.000 0.000 0.000
Cd 0.500 0.500 0.000


CrCd2Fe: optimized geometry, GGA-PBE.

## Properties
energy above the lowest structure with this stoichiometry: 2.45 eV/f.u.
calculated volume: 61.90 Å³ per cell
total moment: 0.00 μB/f.u.
symmetry: Fm-3m
ΔH_f (0 K): 0.869 eV/atom

a b c (Å): 4.440 4.440 4.440
angles (deg): 60.00 60.00 60.00
Fractional positions:
Cr 0.000 0.000 0.000
Fe 0.500 0.500 0.500
Cd 0.250 0.250 0.250
Cd 0.750 0.750 0.750


CrCdFe: optimized geometry, GGA-PBE.

## Properties
energy above the lowest structure with this stoichiometry: 0.44 eV/f.u.
calculated volume: 45.27 Å³ per cell
total moment: 0.54 μB/f.u.
symmetry: P3m1
ΔH_f (0 K): 0.495 eV/atom

a b c (Å): 4.328 4.328 2.791
angles (deg): 90.00 90.00 120.00
Each line ends with the local moment (μB).
Fractional positions:
Cd 0.000 0.000 0.995  -0.01
Cr 0.667 0.333 0.448  -2.63
Fe 0.333 0.667 0.557  2.27


Question: What is the formula in the fourth record?
Answer: Cr2CdFe